[1]
Density functional theory data (PBEsol) for a geometry-optimized Mg2B4Ru5 structure.

Properties
crystal system: orthorhombic
space group: Pbam, No. 55
E_form: -0.3576 eV/atom

Geometry as CIF:
```
data_Mg2B4Ru5
_space_group_name_H-M_alt 'P 1'
_space_group_IT_number 1
_cell_length_a 8.3515
_cell_length_b 9.9565
_cell_length_c 2.9309
_cell_angle_alpha 90.00
_cell_angle_beta 90.00
_cell_angle_gamma 90.00
loop_
_space_group_symop_operation_xyz
'x,y,z'
loop_
_atom_site_label
_atom_site_type_symbol
_atom_site_fract_x
_atom_site_fract_y
_atom_site_fract_z
Mg1 Mg 0.1489 0.1843 0.0000
Mg2 Mg 0.3511 0.6843 0.0000
Mg3 Mg 0.6489 0.3157 0.0000
Mg4 Mg 0.8511 0.8157 0.0000
B1 B 0.0394 0.5898 0.0000
B2 B 0.1490 0.8984 0.0000
B3 B 0.3510 0.3984 0.0000
B4 B 0.4606 0.0898 0.0000
B5 B 0.5394 0.9102 0.0000
B6 B 0.6490 0.6016 0.0000
B7 B 0.8510 0.1016 0.0000
B8 B 0.9606 0.4102 0.0000
Ru1 Ru 0.0000 0.0000 0.5000
Ru2 Ru 0.1044 0.7386 0.5000
Ru3 Ru 0.1560 0.4528 0.5000
Ru4 Ru 0.3440 0.9528 0.5000
Ru5 Ru 0.3956 0.2386 0.5000
Ru6 Ru 0.5000 0.5000 0.5000
Ru7 Ru 0.6044 0.7614 0.5000
Ru8 Ru 0.6560 0.0472 0.5000
Ru9 Ru 0.8440 0.5472 0.5000
Ru10 Ru 0.8956 0.2614 0.5000
```

[2]
Density functional theory data (PBEsol) for a geometry-optimized MgB2Sb structure.

Properties
crystal system: tetragonal
space group: I-42d, No. 122
formation energy from raw total energies: 97.89 kJ/mol of atoms

Geometry as CIF:
```
data_MgB2Sb
_space_group_name_H-M_alt 'P 1'
_space_group_IT_number 1
_cell_length_a 5.6976
_cell_length_b 5.6976
_cell_length_c 9.0375
_cell_angle_alpha 90.00
_cell_angle_beta 90.00
_cell_angle_gamma 90.00
loop_
_space_group_symop_operation_xyz
'x,y,z'
loop_
_atom_site_label
_atom_site_type_symbol
_atom_site_fract_x
_atom_site_fract_y
_atom_site_fract_z
Mg1 Mg 0.0000 0.0000 0.0000
Mg2 Mg 0.0000 0.5000 0.2500
Mg3 Mg 0.5000 0.0000 0.7500
Mg4 Mg 0.5000 0.5000 0.5000
B1 B 0.2284 0.7500 0.6250
B2 B 0.2500 0.2284 0.3750
B3 B 0.2500 0.2716 0.8750
B4 B 0.2716 0.7500 0.1250
B5 B 0.7284 0.2500 0.1250
B6 B 0.7500 0.7284 0.8750
B7 B 0.7500 0.7716 0.3750
B8 B 0.7716 0.2500 0.6250
Sb1 Sb 0.0000 0.0000 0.5000
Sb2 Sb 0.0000 0.5000 0.7500
Sb3 Sb 0.5000 0.0000 0.2500
Sb4 Sb 0.5000 0.5000 0.0000
```

[3]
Density functional theory data (PBEsol) for a geometry-optimized MgB3Sb structure.

Properties
crystal system: cubic
space group: Pm-3m, No. 221
formation energy from raw total energies: 204.20 kJ/mol of atoms

Geometry as CIF:
```
data_MgB3Sb
_space_group_name_H-M_alt 'P 1'
_space_group_IT_number 1
_cell_length_a 4.3133
_cell_length_b 4.3133
_cell_length_c 4.3133
_cell_angle_alpha 90.00
_cell_angle_beta 90.00
_cell_angle_gamma 90.00
loop_
_space_group_symop_operation_xyz
'x,y,z'
loop_
_atom_site_label
_atom_site_type_symbol
_atom_site_fract_x
_atom_site_fract_y
_atom_site_fract_z
Mg1 Mg 0.0000 0.0000 0.0000
B1 B 0.0000 0.0000 0.5000
B2 B 0.0000 0.5000 0.0000
B3 B 0.5000 0.0000 0.0000
Sb1 Sb 0.5000 0.5000 0.5000
```

[4]
Density functional theory data (PBEsol) for a geometry-optimized Mg3ScB structure.

Properties
crystal system: cubic
space group: Pm-3m, No. 221
E_form: 0.3299 eV/atom

Geometry as CIF:
```
data_Mg3ScB
_space_group_name_H-M_alt 'P 1'
_space_group_IT_number 1
_cell_length_a 4.5871
_cell_length_b 4.5871
_cell_length_c 4.5871
_cell_angle_alpha 90.00
_cell_angle_beta 90.00
_cell_angle_gamma 90.00
loop_
_space_group_symop_operation_xyz
'x,y,z'
loop_
_atom_site_label
_atom_site_type_symbol
_atom_site_fract_x
_atom_site_fract_y
_atom_site_fract_z
Mg1 Mg 0.0000 0.0000 0.5000
Mg2 Mg 0.0000 0.5000 0.0000
Mg3 Mg 0.5000 0.0000 0.0000
Sc1 Sc 0.5000 0.5000 0.5000
B1 B 0.0000 0.0000 0.0000
```

[5]
Density functional theory data (PBEsol) for a geometry-optimized MgBSe2 structure.

Properties
crystal system: trigonal
space group: R-3m, No. 166
formation energy from raw total energies: -5.20 kJ/mol of atoms

Geometry as CIF:
```
data_MgBSe2
_space_group_name_H-M_alt 'P 1'
_space_group_IT_number 1
_cell_length_a 4.0198
_cell_length_b 4.0198
_cell_length_c 19.5881
_cell_angle_alpha 90.00
_cell_angle_beta 90.00
_cell_angle_gamma 120.00
loop_
_space_group_symop_operation_xyz
'x,y,z'
loop_
_atom_site_label
_atom_site_type_symbol
_atom_site_fract_x
_atom_site_fract_y
_atom_site_fract_z
Mg1 Mg 0.0000 0.0000 0.0000
Mg2 Mg 0.3333 0.6667 0.6667
Mg3 Mg 0.6667 0.3333 0.3333
B1 B 0.0000 0.0000 0.5000
B2 B 0.3333 0.6667 0.1667
B3 B 0.6667 0.3333 0.8333
Se1 Se 0.0000 0.0000 0.4056
Se2 Se 0.0000 0.0000 0.5944
Se3 Se 0.3333 0.6667 0.0723
Se4 Se 0.3333 0.6667 0.2611
Se5 Se 0.6667 0.3333 0.7389
Se6 Se 0.6667 0.3333 0.9277
```

[6]
Density functional theory data (PBEsol) for a geometry-optimized MgB3Se structure.

Properties
crystal system: cubic
space group: Pm-3m, No. 221
formation energy from raw total energies: 222.17 kJ/mol of atoms

Geometry as CIF:
```
data_MgB3Se
_space_group_name_H-M_alt 'P 1'
_space_group_IT_number 1
_cell_length_a 4.3591
_cell_length_b 4.3591
_cell_length_c 4.3591
_cell_angle_alpha 90.00
_cell_angle_beta 90.00
_cell_angle_gamma 90.00
loop_
_space_group_symop_operation_xyz
'x,y,z'
loop_
_atom_site_label
_atom_site_type_symbol
_atom_site_fract_x
_atom_site_fract_y
_atom_site_fract_z
Mg1 Mg 0.0000 0.0000 0.0000
B1 B 0.0000 0.0000 0.5000
B2 B 0.0000 0.5000 0.0000
B3 B 0.5000 0.0000 0.0000
Se1 Se 0.5000 0.5000 0.5000
```

| no. | magnetization (μB per atom) |
| --- | --- |
| 1 | 0.00 |
| 2 | 0.00 |
| 3 | 0.00 |
| 4 | 0.00 |
| 5 | 0.00 |
| 6 | 0.00 |